Material: NbCoBrO2
Method: DFT, PBE+U
State: optimized geometry

* total magnetic moment: 0.426 μB/atom
* DFT total energy: -6.3609 eV per atom

Cell lengths 3.924, 3.924, 5.835 Å; angles 90.00, 90.00, 90.00 degrees
Space group P4/mmm (No. 123)
Inequivalent atoms, fractional coordinates:
Nb 0.000 0.000 0.000 (multiplicity 1)
Co 0.500 0.500 0.500 (multiplicity 1)
Br 0.000 0.000 0.500 (multiplicity 1)
O 0.000 0.500 0.000 (multiplicity 2)